DFT (PBE-GGA) results for a relaxed TlFe2H2 crystal.

abc: 6.885 6.885 2.672
angles: 90.00 90.00 90.00
Fractional coordinates of all 10 atoms:
Tl  0.000  0.000  0.000
Tl  0.500  0.500  0.000
Fe  0.113  0.387  0.000
Fe  0.387  0.887  0.000
Fe  0.613  0.113  0.000
Fe  0.887  0.613  0.000
H  0.087  0.587  0.500
H  0.413  0.087  0.500
H  0.587  0.913  0.500
H  0.913  0.413  0.500

Values from the calculation:
Polymorph energy (0 for the lowest one), meV/atom: 439
Total moment, μB per formula unit: 4.63
VASP energy, eV per cell: -45.01
Theoretical density, Mg/m³: 8.34